## TaCr2Br (GGA-PBE)

Data for crystalline TaCr2Br at its relaxed geometry.

* space-group type: I-42d
* V: 143 Å³/cell
* formation energy (no corrections): 1.028 eV/atom

a = 5.784 Å, b = 5.784 Å, c = 5.784 Å
α = 103.35°, β = 103.35°, γ = 122.57°
Positions (direct):
Ta 0.000 0.000 0.000
Ta 0.750 0.250 0.500
Cr 0.146 0.625 0.021
Cr 0.375 0.396 0.521
Cr 0.604 0.125 0.979
Cr 0.875 0.854 0.479
Br 0.250 0.750 0.500
Br 0.500 0.500 0.000

---

## HoTiCoCu (GGA-PBE)

Data for crystalline HoTiCoCu at its relaxed geometry.

* space-group type: F-43m
* energy of formation from the pure elements: -0.35 eV/f.u.
* V: 66 Å³/cell

a = 4.542 Å, b = 4.542 Å, c = 4.542 Å
α = 60.00°, β = 60.00°, γ = 60.00°
Positions (direct):
Ho 0.000 0.000 0.000
Ti 0.500 0.500 0.500
Co 0.250 0.250 0.250
Cu 0.750 0.750 0.750

---

## HfZr2TiN (GGA-PBE)

Data for crystalline HfZr2TiN at its relaxed geometry.

* space-group type: P4/mmm
* V: 91 Å³/cell
* formation energy (no corrections): -0.690 eV/atom

a = 4.545 Å, b = 4.545 Å, c = 4.387 Å
α = 90.00°, β = 90.00°, γ = 90.00°
Positions (direct):
Hf 0.000 0.000 0.000
Zr 0.000 0.500 0.500
Zr 0.500 0.000 0.500
Ti 0.500 0.500 0.000
N 0.000 0.000 0.500

---

## Tb2BiH (GGA-PBE)

Data for crystalline Tb2BiH at its relaxed geometry.

* space-group type: R-3m
* V: 97 Å³/cell
* final energy: -4.52 eV/atom

a = 6.927 Å, b = 6.927 Å, c = 6.927 Å
α = 34.87°, β = 34.87°, γ = 34.87°
Positions (direct):
Tb 0.234 0.234 0.234
Tb 0.766 0.766 0.766
Bi 0.000 0.000 0.000
H 0.500 0.500 0.500